A plane-wave DFT calculation with PBE was carried out for crystalline Eu2SeCl at its relaxed geometry.

As for the uncorrected formation energy: -1.84 eV per atom.

The space group is R-3m (No. 166, hexagonal axes) and the conventional cell measures 4.3101, 4.3101 and 20.5178 Å, with angles of 90.00, 90.00 and 120.00 degrees. The distinct sites, in fractional coordinates, are Eu at (0.0000, 0.0000, 0.2478), Se at (0.0000, 0.0000, 0.5000) and Cl at (0.0000, 0.0000, 0.0000).